A geometry-optimized VZnI2 structure, computed with PBE-GGA.

a b c (Å): 9.9685 9.9685 7.5477
angles (deg): 48.67 48.67 90.00
Each line ends with the local moment (μB).
Atoms (fractional coordinates):
I (0.4741, 0.1250, 0.2500)  -0.05
I (0.2759, 0.6250, 0.2500)  -0.05
I (0.3750, 0.5259, 0.7500)  -0.05
I (0.8750, 0.7241, 0.7500)  -0.05
Zn (0.0000, 0.0000, 0.0000)  0.01
Zn (0.7500, 0.2500, 0.5000)  0.01
V (0.5000, 0.5000, 0.0000)  2.56
V (0.2500, 0.7500, 0.5000)  2.56

Formation energy from raw total energies in eV/atom: 0.02
Space-group type: I-42d, No. 122
V in Å³/cell: 268.16
Energy above the most stable polymorph in this dataset in eV per atom: 0.0000